# 1
Compound: NdTm2Tl9
Source: the Alexandria database
Functional: PBE-GGA
Structure: relaxed

Properties
total magnetization	0.000	μB per atom
theoretical density	11.79	g/cm³
energy of formation	-226	meV per atom
E_tot	-3.143	eV/atom
DOS at the Fermi energy	0.243	states/eV per atom

The structure in POSCAR format:
```
NdTm2Tl9
1.0
4.7777 0.0000 0.0000
0.0000 4.7777 0.0000
0.0000 0.0000 14.3243
Nd Tm Tl
1 2 9
Direct
0.0000 0.0000 0.0000 Nd
0.0000 0.0000 0.3347 Tm
0.0000 0.0000 0.6653 Tm
0.5000 0.5000 0.0000 Tl
0.5000 0.5000 0.3348 Tl
0.5000 0.5000 0.6652 Tl
0.5000 0.0000 0.1710 Tl
0.5000 0.0000 0.5000 Tl
0.5000 0.0000 0.8290 Tl
0.0000 0.5000 0.1710 Tl
0.0000 0.5000 0.5000 Tl
0.0000 0.5000 0.8290 Tl
```

---

# 2
Compound: Nd3TmTl
Source: the Alexandria database
Functional: PBE-GGA
Structure: relaxed

Properties
total magnetization	0.000	μB per atom
theoretical density	8.51	g/cm³
energy of formation	-79	meV per atom
E_tot	-4.307	eV/atom
polymorph energy (0 for the lowest one)	0.00	eV/f.u.
DOS at the Fermi energy	1.046	states/eV per atom

The structure in POSCAR format:
```
Nd3TmTl
1.0
5.6845 0.0000 1.2990
0.0000 5.7860 0.0000
0.7646 0.0000 9.7412
Nd Tm Tl
6 2 2
Direct
0.7675 0.2500 0.1133 Nd
0.3812 0.2500 0.8860 Nd
0.5749 0.2500 0.4986 Nd
0.2672 0.7500 0.1140 Nd
0.8808 0.7500 0.8867 Nd
0.0735 0.7500 0.5014 Nd
0.4714 0.7500 0.7054 Tm
0.1769 0.2500 0.2946 Tm
0.6708 0.7500 0.3067 Tl
0.9775 0.2500 0.6933 Tl
```

---

# 3
Compound: Nd7TmTl4
Source: the Alexandria database
Functional: PBE-GGA
Structure: relaxed

Properties
total magnetization	0.000	μB per atom
theoretical density	8.50	g/cm³
energy of formation	-67	meV per atom
E_tot	-4.009	eV/atom
DOS at the Fermi energy	1.088	states/eV per atom

The structure in POSCAR format:
```
Nd7TmTl4
1.0
5.9310 0.0000 0.0000
2.9655 8.9217 0.7966
2.9655 0.9440 7.4505
Nd Tm Tl
7 1 4
Direct
0.7969 0.8834 0.5228 Nd
0.2031 0.1166 0.4772 Nd
0.0626 0.6052 0.2696 Nd
0.9374 0.3948 0.7304 Nd
0.2669 0.6755 0.7908 Nd
0.5000 0.0000 0.0000 Nd
0.7331 0.3245 0.2092 Nd
0.0000 0.0000 0.0000 Tm
0.5536 0.2652 0.6276 Tl
0.4464 0.7348 0.3724 Tl
0.6864 0.6649 0.9623 Tl
0.3136 0.3351 0.0377 Tl
```

---

Question: Which of these has the highest E_tot?
Answer: NdTm2Tl9

---

Question: What is the formula in the second record?
Answer: Nd3TmTl